## LaHg2Pb2 (PBE)

Data for crystalline LaHg2Pb2 at its relaxed geometry.

Cell lengths 7.599, 7.599, 7.599 Å; angles 143.76, 143.76, 52.19 degrees
Positions (direct):
La: 0.000 0.000 0.000
Hg: 0.398 0.398 0.000
Hg: 0.602 0.602 0.000
Pb: 0.250 0.750 0.500
Pb: 0.750 0.250 0.500

Properties
**Distance to the lowest polymorph of the same formula**: 77 meV per atom
**E_form**: -165 meV per atom
**Space-group type**: No. 139